A plane-wave DFT calculation with PBE+U was carried out for a relaxed Ba4YCuW2O12 crystal.

For the total energy, the calculation gives -7.14 eV/atom. The total moment comes out at 0.00 μB per atom.

The space group is P4/mmm (No. 123) and the conventional cell measures 5.958, 5.958 and 8.501 Å, with angles of 90.00, 90.00 and 90.00 degrees. The inequivalent atoms are Ba at (0.000, 0.500, 0.234), Y at (0.000, 0.000, 0.500), Cu at (0.500, 0.500, 0.000), W at (0.000, 0.000, 0.000), W at (0.500, 0.500, 0.500), O at (0.000, 0.000, 0.235), O at (0.231, 0.231, 0.000), O at (0.265, 0.265, 0.500) and O at (0.500, 0.500, 0.273).